Rb2BaCa | Alexandria | GGA-PBE | optimized geometry; formation energy = 0.35 eV/atom; excess energy over the best structure of this formula in the dataset = 0.400 eV per formula unit
1.0
11.632 0.000 0.000
0.000 11.632 0.000
5.816 5.816 4.232
Ca Ba Rb
2 2 4
Cartesian
5.816 5.816 0.000 Ca
5.816 11.632 2.116 Ca
0.000 0.000 0.000 Ba
11.632 5.816 2.116 Ba
8.523 2.908 1.058 Rb
3.109 8.724 1.058 Rb
8.724 8.925 3.174 Rb
14.540 14.339 3.174 Rb


RbBaCa3 | Alexandria | GGA-PBE | optimized geometry; formation energy = 0.66 eV/atom; excess energy over the best structure of this formula in the dataset = 0.000 eV per formula unit
1.0
-4.670 4.872 -1.029
0.890 -0.571 -6.744
-4.899 -4.748 -0.245
Ca Ba Rb
3 1 1
Cartesian
0.445 -0.286 -3.372 Ca
-2.449 -2.374 -0.122 Ca
-2.335 2.436 -0.515 Ca
0.000 0.000 0.000 Ba
-4.339 -0.224 -4.009 Rb


Rb2BaCa2 | Alexandria | GGA-PBE | optimized geometry; formation energy = 0.32 eV/atom; excess energy over the best structure of this formula in the dataset = 0.159 eV per formula unit
1.0
4.979 0.000 0.000
0.000 4.979 0.000
2.490 2.490 14.206
Ca Ba Rb
2 1 2
Cartesian
4.979 2.490 7.103 Ca
2.490 4.979 7.103 Ca
0.000 0.000 0.000 Ba
2.490 2.490 3.395 Rb
4.979 4.979 10.812 Rb


Rb2BaCa2 | Alexandria | GGA-PBE | optimized geometry; formation energy = 0.28 eV/atom; excess energy over the best structure of this formula in the dataset = 0.000 eV per formula unit
1.0
11.817 0.000 0.000
0.000 11.817 0.000
0.000 0.000 4.518
Ca Ba Rb
4 2 4
Cartesian
4.506 10.415 0.000 Ca
10.415 7.311 0.000 Ca
7.311 1.402 0.000 Ca
1.402 4.506 0.000 Ca
0.000 0.000 0.000 Ba
5.909 5.909 0.000 Ba
2.084 7.992 2.259 Rb
7.992 9.734 2.259 Rb
9.734 3.825 2.259 Rb
3.825 2.084 2.259 Rb


Repeat the third record exactly.
Rb2BaCa2 | Alexandria | GGA-PBE | optimized geometry; formation energy = 0.32 eV/atom; excess energy over the best structure of this formula in the dataset = 0.159 eV per formula unit
1.0
4.979 0.000 0.000
0.000 4.979 0.000
2.490 2.490 14.206
Ca Ba Rb
2 1 2
Cartesian
4.979 2.490 7.103 Ca
2.490 4.979 7.103 Ca
0.000 0.000 0.000 Ba
2.490 2.490 3.395 Rb
4.979 4.979 10.812 Rb


What did the first record say?
Rb2BaCa | Alexandria | GGA-PBE | optimized geometry; formation energy = 0.35 eV/atom; excess energy over the best structure of this formula in the dataset = 0.400 eV per formula unit
1.0
11.632 0.000 0.000
0.000 11.632 0.000
5.816 5.816 4.232
Ca Ba Rb
2 2 4
Cartesian
5.816 5.816 0.000 Ca
5.816 11.632 2.116 Ca
0.000 0.000 0.000 Ba
11.632 5.816 2.116 Ba
8.523 2.908 1.058 Rb
3.109 8.724 1.058 Rb
8.724 8.925 3.174 Rb
14.540 14.339 3.174 Rb